Here is a relaxed structure of Te3Rh from the Alexandria database. Energies are from PBE-GGA.

Computed properties:
DOS(E_F)	12.2	states/eV per cell
formation energy (no corrections)	0.403	eV/f.u.
M_tot	0.00	Bohr magnetons per cell
DFT total energy	-4.093	eV/atom

Structure (POSCAR):
```
Te3Rh
1.0
-3.464 -1.586 7.220
5.669 -5.047 -3.004
5.119 3.792 3.289
Te Rh
12 4
Direct
0.000 0.500 0.000 Te
0.500 0.500 0.500 Te
0.713 0.856 0.750 Te
0.500 0.500 0.000 Te
0.287 0.144 0.250 Te
0.856 0.144 0.250 Te
0.144 0.856 0.750 Te
0.500 0.000 0.000 Te
0.500 0.000 0.500 Te
0.856 0.713 0.250 Te
0.144 0.287 0.750 Te
0.000 0.500 0.500 Te
0.667 0.333 0.750 Rh
0.333 0.667 0.250 Rh
0.000 0.000 0.500 Rh
0.000 0.000 0.000 Rh
```